Here is a relaxed structure of LiIr2Pt from the Alexandria database. Energies are from PBE-GGA.

Geometry as extended XYZ:
```
4
Lattice="4.5153 -1.3616 0.0000 4.5153 1.3616 0.0000 -0.7346 0.0000 4.6679" Properties=species:S:1:pos:R:3 pbc="T T T"
Li 0.0000 0.0000 0.0000
Ir 4.1977 0.0000 2.2833
Ir 6.6498 0.0000 1.4555
Pt 1.6320 0.0000 3.7859
```

Summary:
V, Å³/f.u.: 57
Formation energy, meV per atom: -160
Theoretical density, g/cm³: 16.97
Energy relative to the lowest polymorph listed for this composition, eV per atom: 0.0092
Symmetry: Cm, No. 8